{
  "formula": "Mg2MoIr",
  "functional": "PBE-GGA",
  "state": "optimized geometry",
  "dos_ef_per_ev_cell": 3.70,
  "delta_e_f_ev_per_atom": -0.028,
  "polymorph_energy_ev_per_atom": 0.088,
  "cell": [[-2.2412, 2.2412, 3.1783], [2.2412, -2.2412, 3.1783], [2.2412, 2.2412, -3.1783]],
  "species": ["Mg", "Mg", "Mo", "Ir"],
  "frac_coords": [[0.0000, 0.0000, 0.0000], [0.7500, 0.2500, 0.5000], [0.2500, 0.7500, 0.5000], [0.5000, 0.5000, 0.0000]]
}